First-principles (PBE with a Hubbard U) data for crystalline LiFePCO7 at its relaxed geometry, as listed in the Alexandria database.

## Properties
Symmetry: P-1, No. 2
Energy in eV for the cell shown: -150.91
Total magnetization in μB/atom: 0.36
Mass density in g/cm³: 2.5

Cell lengths 5.1721, 6.3285, 8.9311 Å; angles 86.96, 88.62, 86.51 degrees
Last column: nearest neighbours and their distance in Å.
Atoms (fractional coordinates):
Li  0.3104  0.5358  0.2741  5 O 1.98-2.21
Li  0.6896  0.4642  0.7259  5 O 1.98-2.21
Fe  0.7941  0.7569  0.1468  6 O 1.92-2.15
Fe  0.2059  0.2431  0.8532  6 O 1.92-2.15
P  0.6992  0.2603  0.0693  4 O 1.53-1.57
P  0.3008  0.7397  0.9307  4 O 1.53-1.57
C  0.7336  0.7227  0.4287  3 O 1.25-1.30
C  0.2664  0.2773  0.5713  3 O 1.25-1.30
O  0.5400  0.7706  0.3399  1 C 1.30
O  0.9572  0.7070  0.3598  1 C 1.30
O  0.2935  0.3059  0.4320  1 C 1.25
O  0.6855  0.4473  0.1747  1 P 1.55
O  0.8298  0.0629  0.1495  1 P 1.53
O  0.1469  0.6764  0.0779  1 P 1.57
O  0.4182  0.2168  0.0273  1 P 1.55
O  0.5818  0.7832  0.9727  1 P 1.55
O  0.8531  0.3236  0.9221  1 P 1.57
O  0.3145  0.5527  0.8253  1 P 1.55
O  0.1702  0.9371  0.8505  1 P 1.53
O  0.7065  0.6941  0.5680  1 C 1.25
O  0.4600  0.2294  0.6601  1 C 1.30
O  0.0428  0.2930  0.6402  1 C 1.30